# 1
Material: Sr2TlO
Method: DFT, PBE
State: optimized geometry

Output
uncorrected formation energy	-1.1647	eV per atom

Cell and atoms, written as CIF:
```
data_Sr2TlO
_chemical_formula_sum 'Sr2 Tl1 O1'
_cell_length_a 3.760
_cell_length_b 3.760
_cell_length_c 9.939
_cell_angle_alpha 79.10
_cell_angle_beta 79.10
_cell_angle_gamma 60.00
_symmetry_space_group_name_H-M 'P 1'
_symmetry_Int_Tables_number 1
loop_
_symmetry_equiv_pos_as_xyz
'x,y,z'
loop_
_atom_site_label
_atom_site_type_symbol
_atom_site_fract_x
_atom_site_fract_y
_atom_site_fract_z
Tl1 Tl 0.000 0.000 0.000
Sr1 Sr 0.884 0.884 0.348
Sr2 Sr 0.116 0.116 0.652
O1 O 0.500 0.500 0.500
```



# 2
Material: Sr4TlO5
Method: DFT, PBE
State: optimized geometry

Output
uncorrected formation energy	-2.3057	eV per atom

Cell and atoms, written as CIF:
```
data_Sr4TlO5
_chemical_formula_sum 'Sr4 Tl1 O5'
_cell_length_a 5.140
_cell_length_b 6.384
_cell_length_c 6.384
_cell_angle_alpha 80.67
_cell_angle_beta 66.26
_cell_angle_gamma 66.26
_symmetry_space_group_name_H-M 'P 1'
_symmetry_Int_Tables_number 1
loop_
_symmetry_equiv_pos_as_xyz
'x,y,z'
loop_
_atom_site_label
_atom_site_type_symbol
_atom_site_fract_x
_atom_site_fract_y
_atom_site_fract_z
O1 O 0.897 0.415 0.794
O2 O 0.312 0.794 0.585
O3 O 0.691 0.206 0.415
O4 O 0.500 0.000 0.000
O5 O 0.106 0.585 0.206
Sr1 Sr 0.605 0.596 0.196
Sr2 Sr 0.201 0.196 0.404
Sr3 Sr 0.397 0.404 0.804
Sr4 Sr 0.801 0.804 0.596
Tl1 Tl 0.001 0.000 0.000
```



# 3
Material: Sr5Tl2O
Method: DFT, PBE
State: optimized geometry

Output
uncorrected formation energy	-0.8310	eV per atom

Cell and atoms, written as CIF:
```
data_Sr5Tl2O
_chemical_formula_sum 'Sr20 Tl8 O4'
_cell_length_a 7.386
_cell_length_b 9.430
_cell_length_c 16.461
_cell_angle_alpha 90.00
_cell_angle_beta 90.00
_cell_angle_gamma 90.00
_symmetry_space_group_name_H-M 'P 1'
_symmetry_Int_Tables_number 1
loop_
_symmetry_equiv_pos_as_xyz
'x,y,z'
loop_
_atom_site_label
_atom_site_type_symbol
_atom_site_fract_x
_atom_site_fract_y
_atom_site_fract_z
O1 O 0.750 0.336 0.571
O2 O 0.250 0.164 0.071
O3 O 0.250 0.664 0.429
O4 O 0.750 0.836 0.929
Tl1 Tl 0.250 0.928 0.826
Tl2 Tl 0.250 0.682 0.091
Tl3 Tl 0.750 0.818 0.591
Tl4 Tl 0.250 0.428 0.674
Tl5 Tl 0.750 0.318 0.909
Tl6 Tl 0.250 0.182 0.409
Tl7 Tl 0.750 0.072 0.174
Tl8 Tl 0.750 0.572 0.326
Sr1 Sr 0.511 0.654 0.908
Sr2 Sr 0.750 0.227 0.348
Sr3 Sr 0.511 0.154 0.592
Sr4 Sr 0.250 0.273 0.848
Sr5 Sr 0.500 0.500 0.500
Sr6 Sr 0.000 0.000 0.000
Sr7 Sr 0.250 0.773 0.652
Sr8 Sr 0.011 0.346 0.092
Sr9 Sr 0.250 0.031 0.201
Sr10 Sr 0.250 0.531 0.299
Sr11 Sr 0.489 0.346 0.092
Sr12 Sr 0.989 0.654 0.908
Sr13 Sr 0.750 0.469 0.701
Sr14 Sr 0.750 0.727 0.152
Sr15 Sr 0.989 0.154 0.592
Sr16 Sr 0.750 0.969 0.799
Sr17 Sr 0.500 0.000 0.000
Sr18 Sr 0.489 0.846 0.408
Sr19 Sr 0.011 0.846 0.408
Sr20 Sr 0.000 0.500 0.500
```



# 4
Material: SrTlO2
Method: DFT, PBE
State: optimized geometry

Output
uncorrected formation energy	-1.6527	eV per atom

Cell and atoms, written as CIF:
```
data_SrTlO2
_chemical_formula_sum 'Sr2 Tl2 O4'
_cell_length_a 6.488
_cell_length_b 5.086
_cell_length_c 5.086
_cell_angle_alpha 90.00
_cell_angle_beta 113.08
_cell_angle_gamma 113.08
_symmetry_space_group_name_H-M 'P 1'
_symmetry_Int_Tables_number 1
loop_
_symmetry_equiv_pos_as_xyz
'x,y,z'
loop_
_atom_site_label
_atom_site_type_symbol
_atom_site_fract_x
_atom_site_fract_y
_atom_site_fract_z
O1 O 0.730 0.365 0.116
O2 O 0.230 0.116 0.365
O3 O 0.770 0.884 0.635
O4 O 0.270 0.635 0.884
Tl1 Tl 0.750 0.375 0.625
Tl2 Tl 0.250 0.625 0.375
Sr1 Sr 0.750 0.875 0.125
Sr2 Sr 0.250 0.125 0.875
```



# 5
Material: Sr2TlO
Method: DFT, PBE
State: optimized geometry

Output
uncorrected formation energy	-1.4029	eV per atom

Cell and atoms, written as CIF:
```
data_Sr2TlO
_chemical_formula_sum 'Sr4 Tl2 O2'
_cell_length_a 7.362
_cell_length_b 7.362
_cell_length_c 6.997
_cell_angle_alpha 58.26
_cell_angle_beta 58.26
_cell_angle_gamma 90.00
_symmetry_space_group_name_H-M 'P 1'
_symmetry_Int_Tables_number 1
loop_
_symmetry_equiv_pos_as_xyz
'x,y,z'
loop_
_atom_site_label
_atom_site_type_symbol
_atom_site_fract_x
_atom_site_fract_y
_atom_site_fract_z
Sr1 Sr 0.243 0.625 0.250
Sr2 Sr 0.507 0.125 0.250
Sr3 Sr 0.375 0.493 0.750
Sr4 Sr 0.875 0.757 0.750
Tl1 Tl 0.000 0.000 0.000
Tl2 Tl 0.750 0.250 0.500
O1 O 0.250 0.750 0.500
O2 O 0.500 0.500 0.000
```



# 6
Material: Sr4Tl2O
Method: DFT, PBE
State: optimized geometry

Output
uncorrected formation energy	-0.9200	eV per atom

Cell and atoms, written as CIF:
```
data_Sr4Tl2O
_chemical_formula_sum 'Sr4 Tl2 O1'
_cell_length_a 5.162
_cell_length_b 5.162
_cell_length_c 9.422
_cell_angle_alpha 74.10
_cell_angle_beta 74.10
_cell_angle_gamma 90.00
_symmetry_space_group_name_H-M 'P 1'
_symmetry_Int_Tables_number 1
loop_
_symmetry_equiv_pos_as_xyz
'x,y,z'
loop_
_atom_site_label
_atom_site_type_symbol
_atom_site_fract_x
_atom_site_fract_y
_atom_site_fract_z
Sr1 Sr 0.832 0.832 0.337
Sr2 Sr 0.168 0.168 0.663
Sr3 Sr 0.000 0.500 0.000
Sr4 Sr 0.500 0.000 0.000
O1 O 0.000 0.000 0.000
Tl1 Tl 0.365 0.365 0.270
Tl2 Tl 0.635 0.635 0.730
```



# 7
Material: Sr6TlO8
Method: DFT, PBE
State: optimized geometry

Output
uncorrected formation energy	-2.2758	eV per atom

Cell and atoms, written as CIF:
```
data_Sr6TlO8
_chemical_formula_sum 'Sr6 Tl1 O8'
_cell_length_a 7.286
_cell_length_b 7.286
_cell_length_c 7.286
_cell_angle_alpha 60.00
_cell_angle_beta 60.00
_cell_angle_gamma 60.00
_symmetry_space_group_name_H-M 'P 1'
_symmetry_Int_Tables_number 1
loop_
_symmetry_equiv_pos_as_xyz
'x,y,z'
loop_
_atom_site_label
_atom_site_type_symbol
_atom_site_fract_x
_atom_site_fract_y
_atom_site_fract_z
Sr1 Sr 0.000 0.000 0.500
Sr2 Sr 0.500 0.000 0.000
Sr3 Sr 0.500 0.000 0.500
Sr4 Sr 0.000 0.500 0.500
Sr5 Sr 0.000 0.500 0.000
Sr6 Sr 0.500 0.500 0.000
O1 O 0.775 0.775 0.225
O2 O 0.225 0.775 0.775
O3 O 0.225 0.775 0.225
O4 O 0.775 0.225 0.225
O5 O 0.250 0.250 0.250
O6 O 0.775 0.225 0.775
O7 O 0.750 0.750 0.750
O8 O 0.225 0.225 0.775
Tl1 Tl 0.000 0.000 0.000
```



# 8
Material: Sr2TlO3
Method: DFT, PBE
State: optimized geometry

Output
uncorrected formation energy	-2.0088	eV per atom

Cell and atoms, written as CIF:
```
data_Sr2TlO3
_chemical_formula_sum 'Sr2 Tl1 O3'
_cell_length_a 3.731
_cell_length_b 5.077
_cell_length_c 6.378
_cell_angle_alpha 113.45
_cell_angle_beta 107.01
_cell_angle_gamma 90.00
_symmetry_space_group_name_H-M 'P 1'
_symmetry_Int_Tables_number 1
loop_
_symmetry_equiv_pos_as_xyz
'x,y,z'
loop_
_atom_site_label
_atom_site_type_symbol
_atom_site_fract_x
_atom_site_fract_y
_atom_site_fract_z
Sr1 Sr 0.665 0.165 0.331
Sr2 Sr 0.335 0.835 0.669
O1 O 0.000 0.000 0.000
O2 O 0.677 0.677 0.354
O3 O 0.323 0.323 0.646
Tl1 Tl 0.000 0.500 0.000
```



# 9
Material: SrTlO3
Method: DFT, PBE
State: optimized geometry

Output
uncorrected formation energy	-0.5453	eV per atom

Cell and atoms, written as CIF:
```
data_SrTlO3
_chemical_formula_sum 'Sr1 Tl1 O3'
_cell_length_a 4.636
_cell_length_b 4.636
_cell_length_c 4.636
_cell_angle_alpha 90.00
_cell_angle_beta 90.00
_cell_angle_gamma 90.00
_symmetry_space_group_name_H-M 'P 1'
_symmetry_Int_Tables_number 1
loop_
_symmetry_equiv_pos_as_xyz
'x,y,z'
loop_
_atom_site_label
_atom_site_type_symbol
_atom_site_fract_x
_atom_site_fract_y
_atom_site_fract_z
Tl1 Tl 0.500 0.500 0.500
Sr1 Sr 0.000 0.000 0.000
O1 O 0.500 0.000 0.000
O2 O 0.000 0.500 0.000
O3 O 0.000 0.000 0.500
```



# 10
Material: Sr2TlO
Method: DFT, PBE
State: optimized geometry

Output
uncorrected formation energy	-0.4599	eV per atom

Cell and atoms, written as CIF:
```
data_Sr2TlO
_chemical_formula_sum 'Sr2 Tl1 O1'
_cell_length_a 5.422
_cell_length_b 5.422
_cell_length_c 5.422
_cell_angle_alpha 60.00
_cell_angle_beta 60.00
_cell_angle_gamma 60.00
_symmetry_space_group_name_H-M 'P 1'
_symmetry_Int_Tables_number 1
loop_
_symmetry_equiv_pos_as_xyz
'x,y,z'
loop_
_atom_site_label
_atom_site_type_symbol
_atom_site_fract_x
_atom_site_fract_y
_atom_site_fract_z
O1 O 0.000 0.000 0.000
Sr1 Sr 0.750 0.750 0.750
Sr2 Sr 0.250 0.250 0.250
Tl1 Tl 0.500 0.500 0.500
```



# 11
Material: Sr7Tl3O2
Method: DFT, PBE
State: optimized geometry

Output
uncorrected formation energy	-1.1186	eV per atom

Cell and atoms, written as CIF:
```
data_Sr7Tl3O2
_chemical_formula_sum 'Sr7 Tl3 O2'
_cell_length_a 5.244
_cell_length_b 5.242
_cell_length_c 13.082
_cell_angle_alpha 101.56
_cell_angle_beta 90.00
_cell_angle_gamma 90.00
_symmetry_space_group_name_H-M 'P 1'
_symmetry_Int_Tables_number 1
loop_
_symmetry_equiv_pos_as_xyz
'x,y,z'
loop_
_atom_site_label
_atom_site_type_symbol
_atom_site_fract_x
_atom_site_fract_y
_atom_site_fract_z
Tl1 Tl 0.500 0.703 0.407
Tl2 Tl 0.500 0.297 0.593
Tl3 Tl 0.500 0.500 0.000
Sr1 Sr 0.000 0.202 0.404
Sr2 Sr 0.000 0.400 0.800
Sr3 Sr 0.000 0.798 0.596
Sr4 Sr 0.000 0.000 0.000
Sr5 Sr 0.500 0.899 0.799
Sr6 Sr 0.000 0.600 0.200
Sr7 Sr 0.500 0.101 0.201
O1 O 0.000 0.103 0.206
O2 O 0.000 0.897 0.794
```



# 12
Material: SrTlO3
Method: DFT, PBE
State: optimized geometry

Output
uncorrected formation energy	-1.4464	eV per atom

Cell and atoms, written as CIF:
```
data_SrTlO3
_chemical_formula_sum 'Sr2 Tl2 O6'
_cell_length_a 3.761
_cell_length_b 4.922
_cell_length_c 9.588
_cell_angle_alpha 75.98
_cell_angle_beta 90.08
_cell_angle_gamma 90.00
_symmetry_space_group_name_H-M 'P 1'
_symmetry_Int_Tables_number 1
loop_
_symmetry_equiv_pos_as_xyz
'x,y,z'
loop_
_atom_site_label
_atom_site_type_symbol
_atom_site_fract_x
_atom_site_fract_y
_atom_site_fract_z
Tl1 Tl 0.548 0.079 0.727
Tl2 Tl 0.551 0.689 0.492
O1 O 0.550 0.232 0.106
O2 O 0.049 0.022 0.843
O3 O 0.550 0.536 0.112
O4 O 0.051 0.746 0.375
O5 O 0.551 0.191 0.489
O6 O 0.548 0.577 0.729
Sr1 Sr 0.049 0.481 0.930
Sr2 Sr 0.050 0.287 0.288
```